First-principles (GGA-PBE) data for an optimized crystal structure of PmLuBeCo, as listed in the Alexandria database. Values from VASP.

Summary:
Total magnetic moment = 0.00 Bohr magnetons per cell
SG = F-43m, No. 216
DFT formation energy = 0.007 eV per atom
VASP energy = -5.019 eV per atom

The structure in Quantum ESPRESSO input format:
```
&SYSTEM
  ibrav = 0, nat = 4, ntyp = 4
/
ATOMIC_SPECIES
Pm 145.00 Pm.upf
Lu 174.97 Lu.upf
Be 9.01 Be.upf
Co 58.93 Co.upf
CELL_PARAMETERS angstrom
0.0000 3.3807 3.3807
3.3807 0.0000 3.3807
3.3807 3.3807 0.0000
ATOMIC_POSITIONS crystal
Pm 0.0000 0.0000 0.0000
Lu 0.5000 0.5000 0.5000
Be 0.7500 0.7500 0.7500
Co 0.2500 0.2500 0.2500
```